1.
TbScZnTc PBE relaxed; V = 19.527 A^3/atom; SG = F-43m (216); density = 7.81 g/cm³; total DFT energy (no corrections) = -5.83 eV per atom; spin magnetization = 0.0 μB per formula unit
1.0
0.000 3.393 3.393
3.393 0.000 3.393
3.393 3.393 0.000
Tb Sc Zn Tc
1 1 1 1
Cartesian
0.000 0.000 0.000 Tb
3.393 3.393 3.393 Sc
5.089 5.089 5.089 Zn
1.696 1.696 1.696 Tc



2.
TbSc4Te6 PBE relaxed; V = 27.546 A^3/atom; SG = Cmcm (63); density = 6.05 g/cm³; total DFT energy (no corrections) = -5.66 eV per atom; spin magnetization = 0.0 μB per formula unit
1.0
2.067 -6.855 0.000
2.067 6.855 0.000
0.000 0.000 21.382
Tb Sc Te
2 8 12
Cartesian
2.067 4.789 16.037 Tb
2.067 -4.789 5.346 Tb
2.067 5.590 2.637 Sc
2.067 5.590 8.054 Sc
2.067 1.999 0.732 Sc
2.067 1.999 9.960 Sc
2.067 -1.999 11.423 Sc
2.067 -1.999 20.651 Sc
2.067 -5.590 13.329 Sc
2.067 -5.590 18.745 Sc
0.000 0.000 0.000 Te
0.000 0.000 10.691 Te
2.067 4.369 5.346 Te
2.067 3.215 12.659 Te
2.067 3.215 19.414 Te
2.067 0.679 3.423 Te
2.067 0.679 7.268 Te
2.067 -0.679 14.114 Te
2.067 -0.679 17.959 Te
2.067 -3.215 1.968 Te
2.067 -3.215 8.723 Te
2.067 -4.369 16.037 Te



3.
Tb4ScTe5 PBE relaxed; V = 28.792 A^3/atom; SG = I4 (79); distance to the lowest polymorph of the same formula = 0.0031 eV/atom; density = 7.61 g/cm³; total DFT energy (no corrections) = -5.32 eV per atom; spin magnetization = 0.0 μB per formula unit
1.0
-4.847 4.847 3.064
4.847 -4.847 3.064
4.847 4.847 -3.064
Tb Sc Te
4 1 5
Cartesian
3.033 0.873 0.000 Tb
3.974 -1.814 3.064 Tb
0.873 6.660 0.000 Tb
1.814 3.974 3.064 Tb
0.000 0.000 3.076 Sc
0.000 0.000 0.007 Te
5.862 2.087 0.000 Te
2.087 3.832 0.000 Te
2.760 1.015 3.064 Te
-1.015 2.760 3.064 Te



4.
TbSc3Te3 PBE relaxed; V = 26.535 A^3/atom; SG = R-3 (148); density = 6.05 g/cm³; total DFT energy (no corrections) = -5.63 eV per atom; spin magnetization = 0.6 μB per formula unit
1.0
4.314 2.491 5.762
-4.314 2.491 5.762
0.000 -4.982 5.762
Tb Sc Te
2 6 6
Cartesian
0.000 0.000 2.957 Tb
0.000 0.000 14.327 Tb
-1.075 -1.821 7.353 Sc
-2.114 0.021 9.932 Sc
-1.039 1.841 7.353 Sc
1.039 -1.841 9.932 Sc
2.114 -0.021 7.353 Sc
1.075 1.821 9.932 Sc
-3.343 0.017 7.089 Te
-1.686 -2.887 10.196 Te
1.657 -2.904 7.089 Te
-1.657 2.904 10.196 Te
1.686 2.887 7.089 Te
3.343 -0.017 10.196 Te



5.
Tb4ScTe5 PBE relaxed; V = 28.833 A^3/atom; SG = I4/mmm (139); distance to the lowest polymorph of the same formula = 0.0000 eV/atom; density = 7.59 g/cm³; total DFT energy (no corrections) = -5.32 eV per atom; spin magnetization = 0.0 μB per formula unit
1.0
-2.137 2.137 15.786
2.137 -2.137 15.786
2.137 2.137 -15.786
Tb Sc Te
4 1 5
Cartesian
0.000 0.000 3.389 Tb
0.000 0.000 9.869 Tb
0.000 0.000 21.704 Tb
0.000 0.000 28.184 Tb
0.000 0.000 15.786 Sc
0.000 0.000 0.000 Te
0.000 0.000 6.536 Te
0.000 0.000 12.910 Te
0.000 0.000 18.662 Te
0.000 0.000 25.037 Te



6.
Tb2ScTe5 PBE relaxed; V = 37.195 A^3/atom; SG = Cmcm (63); density = 5.58 g/cm³; total DFT energy (no corrections) = -5.06 eV per atom; spin magnetization = 0.0 μB per formula unit
1.0
3.045 -7.386 0.000
3.045 7.386 0.000
0.000 0.000 13.231
Tb Sc Te
4 2 10
Cartesian
3.045 4.974 7.459 Tb
3.045 4.974 12.387 Tb
3.045 -4.974 0.844 Tb
3.045 -4.974 5.772 Tb
3.045 4.483 3.308 Sc
3.045 -4.483 9.923 Sc
3.045 6.870 1.649 Te
3.045 6.870 4.966 Te
3.045 3.150 9.923 Te
3.045 2.590 1.094 Te
3.045 2.590 5.521 Te
3.045 -2.590 7.710 Te
3.045 -2.590 12.137 Te
3.045 -3.150 3.308 Te
3.045 -6.870 8.265 Te
3.045 -6.870 11.582 Te



7.
TbScTe PBE relaxed; V = 26.165 A^3/atom; SG = I4mm (107); distance to the lowest polymorph of the same formula = 0.1420 eV/atom; density = 7.01 g/cm³; total DFT energy (no corrections) = -5.45 eV per atom; spin magnetization = 0.0 μB per formula unit
1.0
-1.894 1.894 5.472
1.894 -1.894 5.472
1.894 1.894 -5.472
Tb Sc Te
1 1 1
Cartesian
0.000 0.000 0.000 Tb
0.000 0.000 3.469 Sc
0.000 0.000 7.474 Te



8.
Tb3Sc2Te8 PBE relaxed; V = 34.574 A^3/atom; SG = C2/m (12); density = 5.86 g/cm³; total DFT energy (no corrections) = -5.13 eV per atom; spin magnetization = 0.0 μB per formula unit
1.0
7.490 -4.273 0.000
7.490 4.273 0.000
-2.288 0.000 7.022
Tb Sc Te
3 2 8
Cartesian
0.000 0.000 0.000 Tb
6.346 2.086 3.511 Tb
6.346 -2.086 3.511 Tb
1.820 0.000 5.821 Sc
10.872 0.000 1.200 Sc
5.371 2.134 0.608 Te
0.955 0.000 2.943 Te
7.321 2.134 6.413 Te
4.336 0.000 4.423 Te
8.356 0.000 2.598 Te
5.371 -2.134 0.608 Te
11.737 0.000 4.079 Te
7.321 -2.134 6.413 Te